Below is a relaxed K2TiTlCl8 crystal, with properties calculated at the PBE-GGA level.

```
data_K2TiTlCl8
_space_group_name_H-M_alt 'P 1'
_space_group_IT_number 1
_cell_length_a 6.572
_cell_length_b 8.544
_cell_length_c 6.879
_cell_angle_alpha 90.00
_cell_angle_beta 92.56
_cell_angle_gamma 90.00
loop_
_space_group_symop_operation_xyz
'x,y,z'
loop_
_atom_site_label
_atom_site_fract_x
_atom_site_fract_y
_atom_site_fract_z
_atom_site_occupancy
K1 0.000 0.236 0.000 1
K2 0.000 0.764 0.000 1
Ti1 0.500 0.000 0.500 1
Tl1 0.500 0.500 0.500 1
Cl1 0.254 0.500 0.182 1
Cl2 0.289 0.200 0.624 1
Cl3 0.289 0.800 0.624 1
Cl4 0.305 0.000 0.206 1
Cl5 0.695 0.000 0.794 1
Cl6 0.711 0.200 0.376 1
Cl7 0.711 0.800 0.376 1
Cl8 0.746 0.500 0.818 1
```

Raw total energy in Ha/atom: -0.13668
DOS(E_F) in states/eV per atom: 0.330
Total magnetic moment in μB per atom: 0.000
Raw formation energy in eV/atom: -1.45
Crystal system: monoclinic



Below is a relaxed ZnCdCu2Au4 crystal, with properties calculated at the PBE-GGA level.

```
data_ZnCdCu2Au4
_space_group_name_H-M_alt 'P 1'
_space_group_IT_number 1
_cell_length_a 7.873
_cell_length_b 7.873
_cell_length_c 7.873
_cell_angle_alpha 33.47
_cell_angle_beta 33.47
_cell_angle_gamma 33.47
loop_
_space_group_symop_operation_xyz
'x,y,z'
loop_
_atom_site_label
_atom_site_fract_x
_atom_site_fract_y
_atom_site_fract_z
_atom_site_occupancy
Zn1 0.000 0.000 0.000 1
Cd1 0.500 0.500 0.500 1
Cu1 0.247 0.247 0.247 1
Cu2 0.753 0.753 0.753 1
Au1 0.118 0.118 0.118 1
Au2 0.370 0.370 0.370 1
Au3 0.630 0.630 0.630 1
Au4 0.882 0.882 0.882 1
```

Energy relative to the elements in meV per atom: -104.0
Raw total energy in Ha/atom: -0.11173
DOS(E_F) in states/eV per atom: 0.323
Total magnetic moment in μB per atom: 0.000
Crystal system: trigonal



Below is a relaxed RbNa10Ag2 crystal, with properties calculated at the PBE-GGA level.

```
data_RbNa10Ag2
_space_group_name_H-M_alt 'P 1'
_space_group_IT_number 1
_cell_length_a 8.851
_cell_length_b 8.851
_cell_length_c 11.405
_cell_angle_alpha 90.00
_cell_angle_beta 90.00
_cell_angle_gamma 98.75
loop_
_space_group_symop_operation_xyz
'x,y,z'
loop_
_atom_site_label
_atom_site_fract_x
_atom_site_fract_y
_atom_site_fract_z
_atom_site_occupancy
Rb1 0.123 0.877 0.750 1
Rb2 0.877 0.123 0.250 1
Na1 0.119 0.413 0.750 1
Na2 0.168 0.832 0.090 1
Na3 0.168 0.832 0.410 1
Na4 0.225 0.225 0.000 1
Na5 0.225 0.225 0.500 1
Na6 0.227 0.474 0.250 1
Na7 0.380 0.620 0.556 1
Na8 0.380 0.620 0.944 1
Na9 0.413 0.119 0.250 1
Na10 0.474 0.227 0.750 1
Na11 0.526 0.773 0.250 1
Na12 0.587 0.881 0.750 1
Na13 0.620 0.380 0.056 1
Na14 0.620 0.380 0.444 1
Na15 0.773 0.526 0.750 1
Na16 0.775 0.775 0.000 1
Na17 0.775 0.775 0.500 1
Na18 0.832 0.168 0.590 1
Na19 0.832 0.168 0.910 1
Na20 0.881 0.587 0.250 1
Ag1 0.000 0.500 0.000 1
Ag2 0.000 0.500 0.500 1
Ag3 0.500 0.000 0.000 1
Ag4 0.500 0.000 0.500 1
```

Energy relative to the elements in meV per atom: 13.6
Raw total energy in Ha/atom: -0.05564
DOS(E_F) in states/eV per atom: 0.453
Total magnetic moment in μB per atom: 0.000
Crystal system: orthorhombic